A plane-wave DFT calculation with PBE was carried out for a relaxed structure of KLa3F.

Uncorrected formation energy, eV per formula unit: 4.0
Density, g/cm3: 4.06

Lattice parameters (Å, degrees): 5.790 5.790 5.790 90.00 90.00 90.00
Positions (direct):
1 F 0.500 0.500 0.500
2 La 0.000 0.500 0.000
3 La 0.000 0.000 0.500
4 La 0.500 0.000 0.000
5 K 0.000 0.000 0.000

A plane-wave DFT calculation with PBE was carried out for a relaxed structure of Ir3SN.

Uncorrected formation energy, eV per formula unit: 5.6
Density, g/cm3: 14.78

Lattice parameters (Å, degrees): 4.120 4.120 4.120 90.00 90.00 90.00
Positions (direct):
1 Ir 0.000 0.000 0.500
2 N 0.000 0.000 0.000
3 Ir 0.500 0.000 0.000
4 S 0.500 0.500 0.500
5 Ir 0.000 0.500 0.000

A plane-wave DFT calculation with PBE was carried out for a relaxed structure of Mn7In.

Energy of formation from the pure elements, meV/atom: 296
Density, g/cm3: 7.72

Lattice parameters (Å, degrees): 5.335 5.335 5.335 60.00 60.00 60.00
Each line ends with the local moment (μB).
Positions (direct):
1 Mn 0.500 0.000 0.500  2.43
2 Mn 0.000 0.000 0.500  2.43
3 Mn 0.000 0.500 0.500  2.43
4 Mn 0.500 0.000 0.000  2.43
5 Mn 0.500 0.500 0.000  2.43
6 Mn 0.500 0.500 0.500  -2.99
7 In 0.000 0.000 0.000  -0.14
8 Mn 0.000 0.500 0.000  2.43

A plane-wave DFT calculation with PBE was carried out for a relaxed structure of Cs2KUTe6.

Uncorrected formation energy, eV per formula unit: -6.4
Density, g/cm3: 4.53

Lattice parameters (Å, degrees): 10.075 7.957 10.168 67.82 44.22 89.73
Positions (direct):
1 Te 0.777 0.733 0.526
2 Te 0.264 0.234 0.036
3 Te 0.223 0.267 0.474
4 Te 0.257 0.728 0.046
5 K 0.000 0.000 0.000
6 Cs 0.235 0.782 0.446
7 Cs 0.765 0.218 0.554
8 Te 0.736 0.766 0.964
9 Te 0.743 0.272 0.954
10 U 0.500 0.500 0.000

A plane-wave DFT calculation with PBE was carried out for a relaxed structure of KSrHg2F8.

Uncorrected formation energy, eV per formula unit: -25.9
Density, g/cm3: 5.87

Lattice parameters (Å, degrees): 5.832 5.832 6.996 114.63 114.63 90.00
Each line ends with the local moment (μB).
Positions (direct):
1 F 0.360 0.394 0.242  0.11
2 F 0.881 0.848 0.242  0.11
3 F 0.360 0.848 0.242  0.11
4 Sr 0.000 0.000 0.000  0.00
5 F 0.606 0.119 0.758  0.11
6 K 0.750 0.250 0.500  0.00
7 F 0.882 0.394 0.242  0.11
8 F 0.152 0.640 0.758  0.11
9 Hg 0.250 0.750 0.500  0.12
10 Hg 0.500 0.500 0.000  0.09
11 F 0.606 0.640 0.758  0.11
12 F 0.152 0.118 0.758  0.11

A plane-wave DFT calculation with PBE was carried out for a relaxed structure of Pm7Sn5Hg.

Energy of formation from the pure elements, meV/atom: -481
Density, g/cm3: 7.62

Lattice parameters (Å, degrees): 6.443 8.464 8.464 84.14 67.63 67.63
Positions (direct):
1 Pm 0.521 0.145 0.813
2 Pm 0.004 0.329 0.662
3 Pm 0.281 0.219 0.219
4 Sn 0.508 0.999 0.484
5 Sn 0.009 0.484 0.999
6 Pm 0.521 0.813 0.145
7 Pm 0.265 0.735 0.735
8 Sn 0.009 0.999 0.484
9 Hg 0.963 0.037 0.037
10 Sn 0.764 0.736 0.736
11 Sn 0.508 0.484 0.999
12 Pm 0.004 0.662 0.329
13 Pm 0.643 0.357 0.357

Question: What is the formula in the sixth record?
Answer: Pm7Sn5Hg

Question: Among the records above, which one has the highest density?
Answer: Ir3SN

Question: What is the formula in the sixth record?
Answer: Pm7Sn5Hg

Question: What is the density in the third record?
Answer: 7.72 g/cm3